# RbTiBiO4 | Alexandria | PBE | optimized geometry
data_RbTiBiO4
_chemical_formula_sum 'Rb2 Ti2 Bi2 O8'
_symmetry_space_group_name_H-M 'P 1 21/m 1'
_symmetry_Int_Tables_number 11
_cell_length_a 6.356
_cell_length_b 6.146
_cell_length_c 7.685
_cell_angle_alpha 90.00
_cell_angle_beta 107.48
_cell_angle_gamma 90.00
loop_
_symmetry_equiv_pos_as_xyz
'x,y,z'
'-x,-y,-z'
'-x,y+1/2,-z'
'x,-y+1/2,z'
loop_
_atom_site_label
_atom_site_type_symbol
_atom_site_fract_x
_atom_site_fract_y
_atom_site_fract_z
Rb1 Rb 0.201 0.250 0.446
Ti1 Ti 0.227 0.750 0.162
Bi1 Bi 0.291 0.250 0.976
O1 O 0.013 0.750 0.940
O2 O 0.074 0.750 0.320
O3 O 0.415 0.510 0.175
# DOS(E_F): 0.0 states/eV/f.u.
# M_tot: 0.00 μB per cell
# calculated total energy: -6.7586 eV/atom